The following is a DFT calculation (PBE) of an optimized crystal structure of UAgIr4. Values from VASP.

```
&SYSTEM
  ibrav = 0, nat = 6, ntyp = 3
/
ATOMIC_SPECIES
U 238.03 U.upf
Ag 107.87 Ag.upf
Ir 192.22 Ir.upf
CELL_PARAMETERS angstrom
0.0000 3.7244 3.7244
3.7244 0.0000 3.7244
3.7244 3.7244 0.0000
ATOMIC_POSITIONS crystal
U 0.0000 0.0000 0.0000
Ag 0.2500 0.2500 0.2500
Ir 0.1266 0.6245 0.6245
Ir 0.6245 0.1266 0.6245
Ir 0.6245 0.6245 0.1266
Ir 0.6245 0.6245 0.6245
```

Computed properties:
SG = F-43m (216)
ΔH_f (0 K) = -0.236 eV/atom
energy = -8.500 eV per atom

---

The following is a DFT calculation (PBE) of an optimized crystal structure of Rb3Sn2I5Cl2. Values from VASP.

```
&SYSTEM
  ibrav = 0, nat = 12, ntyp = 4
/
ATOMIC_SPECIES
Rb 85.47 Rb.upf
Sn 118.71 Sn.upf
I 126.90 I.upf
Cl 35.45 Cl.upf
CELL_PARAMETERS angstrom
-3.1498 3.1498 14.4550
3.1498 -3.1498 14.4550
3.1498 3.1498 -14.4550
ATOMIC_POSITIONS crystal
Rb 0.0000 0.0000 0.0000
Rb 0.1844 0.1844 0.0000
Rb 0.8156 0.8156 0.0000
Sn 0.3871 0.3871 0.0000
Sn 0.6129 0.6129 0.0000
I 0.1079 0.6079 0.5000
I 0.3921 0.8921 0.5000
I 0.5000 0.5000 0.0000
I 0.6079 0.1079 0.5000
I 0.8921 0.3921 0.5000
Cl 0.2946 0.2946 0.0000
Cl 0.7054 0.7054 0.0000
```

Computed properties:
uncorrected formation energy = -1.11 eV/atom
SG = I4/mmm (139)
energy = -2.972 eV per atom